1.
# MnRe2Ir | Alexandria via LeMat-Bulk | PBE | relaxed
data_MnRe2Ir
_symmetry_space_group_name_H-M 'P 1'
_symmetry_Int_Tables_number 1
_symmetry_space_group_name_Hall 'P 1'
_cell_length_a 4.731
_cell_length_b 4.731
_cell_length_c 4.731
_cell_angle_alpha 132.69
_cell_angle_beta 132.69
_cell_angle_gamma 69.14
loop_
_atom_site_label
_atom_site_fract_x
_atom_site_fract_y
_atom_site_fract_z
_atom_site_occupancy
Ir1 0.250 0.750 0.500 1
Re1 0.000 0.000 0.000 1
Re2 0.500 0.500 0.000 1
Mn1 0.750 0.250 0.500 1
# **E above lowest polymorph**: 0.7 kJ/mol of atoms
# **V**: 56.1 Å³ per cell
# **Space group**: I4/mmm (139)
# **DFT total energy**: -10.802 eV/atom
# **Formation energy from the elements**: -0.07 eV/atom

2.
# MnReIr2 | Alexandria via LeMat-Bulk | PBE | relaxed
data_MnReIr2
_symmetry_space_group_name_H-M 'P 1'
_symmetry_Int_Tables_number 1
_symmetry_space_group_name_Hall 'P 1'
_cell_length_a 4.343
_cell_length_b 4.343
_cell_length_c 4.343
_cell_angle_alpha 60.00
_cell_angle_beta 60.00
_cell_angle_gamma 60.00
loop_
_atom_site_label
_atom_site_fract_x
_atom_site_fract_y
_atom_site_fract_z
_atom_site_occupancy
Re1 0.750 0.750 0.750 1
Mn1 0.500 0.500 0.500 1
Ir1 0.250 0.250 0.250 1
Ir2 0.000 0.000 0.000 1
# **E above lowest polymorph**: 45.5 kJ/mol of atoms
# **V**: 57.9 Å³ per cell
# **Space group**: F-43m (216)
# **DFT total energy**: -9.568 eV/atom
# **Formation energy from the elements**: 0.27 eV/atom

3.
# Mn3ReIr | Alexandria via LeMat-Bulk | PBE | relaxed
data_Mn3ReIr
_symmetry_space_group_name_H-M 'P 1'
_symmetry_Int_Tables_number 1
_symmetry_space_group_name_Hall 'P 1'
_cell_length_a 4.356
_cell_length_b 4.356
_cell_length_c 4.356
_cell_angle_alpha 90.00
_cell_angle_beta 90.00
_cell_angle_gamma 90.00
loop_
_atom_site_label
_atom_site_fract_x
_atom_site_fract_y
_atom_site_fract_z
_atom_site_occupancy
Mn1 0.000 0.500 0.000 1
Mn2 0.500 0.000 0.000 1
Mn3 0.000 0.000 0.500 1
Re1 0.000 0.000 0.000 1
Ir1 0.500 0.500 0.500 1
# **E above lowest polymorph**: 0.0 kJ/mol of atoms
# **V**: 82.6 Å³ per cell
# **Space group**: Pm-3m (221)
# **DFT total energy**: -7.927 eV/atom
# **Formation energy from the elements**: 1.84 eV/atom

4.
# MnRe2Ir | Alexandria via LeMat-Bulk | PBE | relaxed
data_MnRe2Ir
_symmetry_space_group_name_H-M 'P 1'
_symmetry_Int_Tables_number 1
_symmetry_space_group_name_Hall 'P 1'
_cell_length_a 3.776
_cell_length_b 2.710
_cell_length_c 6.081
_cell_angle_alpha 63.65
_cell_angle_beta 90.00
_cell_angle_gamma 90.00
loop_
_atom_site_label
_atom_site_fract_x
_atom_site_fract_y
_atom_site_fract_z
_atom_site_occupancy
Re1 0.000 0.481 0.519 1
Re2 0.000 0.019 0.981 1
Mn1 0.500 0.750 0.750 1
Ir1 0.500 0.250 0.250 1
# **E above lowest polymorph**: 1.6 kJ/mol of atoms
# **V**: 55.8 Å³ per cell
# **Space group**: P2/m (10)
# **DFT total energy**: -10.793 eV/atom
# **Formation energy from the elements**: -0.06 eV/atom